(1)
Material: ScSnAs3
Method: DFT, PBE-GGA
State: optimized geometry

Unit cell a=5.1102 b=5.1102 c=5.1102 alpha=90.00 beta=90.00 gamma=90.00
Fractional coordinates of all 5 atoms:
Sc1 0.0000 0.0000 0.0000
Sn1 0.5000 0.5000 0.5000
As1 0.0000 0.0000 0.5000
As2 0.0000 0.5000 0.0000
As3 0.5000 0.0000 0.0000

Output
**ΔE to the lowest computed polymorph**: 0 meV/atom
**Magnetization**: 0.0 μB/cell
**E_form**: 0.135 eV per atom
**Space-group type**: Pm-3m
**Final energy**: -4.72 eV per atom

***

(2)
Material: K3Na6Hg2
Method: DFT, PBE-GGA
State: optimized geometry

Unit cell a=19.6728 b=19.6728 c=19.6728 alpha=165.67 beta=165.67 gamma=20.32
Fractional coordinates of all 11 atoms:
K1 0.0000 0.0000 0.0000
K2 0.1704 0.1704 0.0000
K3 0.8296 0.8296 0.0000
Na1 0.0867 0.5867 0.5000
Na2 0.2741 0.2741 0.0000
Na3 0.4133 0.9133 0.5000
Na4 0.5867 0.0867 0.5000
Na5 0.7259 0.7259 0.0000
Na6 0.9133 0.4133 0.5000
Hg1 0.3587 0.3587 0.0000
Hg2 0.6413 0.6413 0.0000

Output
**Magnetization**: 0.0 μB/cell
**E_form**: -0.067 eV per atom
**Space-group type**: I4/mmm
**Final energy**: -1.14 eV per atom

***

no.,mass density (g/cm3)
1,4.83
2,2.34